No. 1
Density functional theory data (PBE-GGA) for a relaxed structure of Ba2SiIr.

Cell lengths 8.963, 8.963, 8.963 Å; angles 27.86, 27.86, 27.86 degrees
Element x y z (fractional)
Ir  0.250  0.250  0.250
Ba  0.988  0.988  0.988
Ba  0.512  0.512  0.512
Si  0.750  0.750  0.750

Electronic total energy in eV/atom: -4.13
Mass density in g/cm3: 5.92
Uncorrected formation energy in eV/f.u.: 1.6
Total moment in μB per cell: 0.00

=====

No. 2
Density functional theory data (PBE-GGA) for a relaxed structure of BaSiIr2.

Cell lengths 4.977, 4.977, 3.179 Å; angles 90.00, 90.00, 99.43 degrees
Element x y z (fractional)
Ir  0.000  0.000  0.000
Ir  0.500  0.500  0.000
Ba  0.000  0.500  0.500
Si  0.500  0.000  0.500

Electronic total energy in eV/atom: -5.57
Mass density in g/cm3: 11.75
Uncorrected formation energy in eV/f.u.: 2.8
Total moment in μB per cell: 0.00

=====

No. 3
Density functional theory data (PBE-GGA) for a relaxed structure of BaSi2Ir.

Cell lengths 4.295, 4.292, 4.606 Å; angles 90.00, 90.00, 90.00 degrees
Element x y z (fractional)
Si  0.000  0.000  0.000
Si  0.500  0.500  0.000
Ir  0.000  0.500  0.500
Ba  0.500  0.000  0.500

Electronic total energy in eV/atom: -4.83
Mass density in g/cm3: 7.54
Uncorrected formation energy in eV/f.u.: 2.3
Total moment in μB per cell: 0.00

=====

No. 4
Density functional theory data (PBE-GGA) for a relaxed structure of BaSiIr3.

Cell lengths 4.645, 4.645, 4.645 Å; angles 90.00, 90.00, 90.00 degrees
Element x y z (fractional)
Si  0.000  0.000  0.000
Ir  0.000  0.000  0.500
Ir  0.500  0.000  0.000
Ir  0.000  0.500  0.000
Ba  0.500  0.500  0.500

Electronic total energy in eV/atom: -6.62
Energy above the lowest structure with this stoichiometry in kJ per mole of atoms: 0.00
Mass density in g/cm3: 12.30
Uncorrected formation energy in eV/f.u.: 0.8
Total moment in μB per cell: 0.00

=====

No. 5
Density functional theory data (PBE-GGA) for a relaxed structure of Ba4SiIr.

Cell lengths 6.732, 6.732, 6.732 Å; angles 60.00, 60.00, 60.00 degrees
Element x y z (fractional)
Si  0.000  0.000  0.000
Ir  0.750  0.750  0.750
Ba  0.375  0.874  0.375
Ba  0.874  0.375  0.375
Ba  0.375  0.375  0.874
Ba  0.375  0.375  0.375

Electronic total energy in eV/atom: -2.69
Mass density in g/cm3: 5.92
Uncorrected formation energy in eV/f.u.: 5.8
Total moment in μB per cell: 0.00

=====

No. 6
Density functional theory data (PBE-GGA) for a relaxed structure of BaSiIr2.

Cell lengths 4.286, 4.286, 6.347 Å; angles 70.27, 70.27, 60.00 degrees
Element x y z (fractional)
Ir  0.442  0.442  0.675
Ir  0.058  0.058  0.825
Si  0.750  0.750  0.750
Ba  0.250  0.250  0.250

Electronic total energy in eV/atom: -6.63
Mass density in g/cm3: 9.82
Uncorrected formation energy in eV/f.u.: -1.4
Total moment in μB per cell: 0.00

=====

No. 7
Density functional theory data (PBE-GGA) for a relaxed structure of BaSiIr2.

Cell lengths 5.971, 5.971, 5.971 Å; angles 151.25, 125.62, 62.67 degrees
Element x y z (fractional)
Si  0.547  0.547  0.000
Ir  0.734  0.234  0.500
Ir  0.958  0.958  0.000
Ba  0.260  0.760  0.500

Electronic total energy in eV/atom: -5.91
Mass density in g/cm3: 11.07
Uncorrected formation energy in eV/f.u.: 1.4
Total moment in μB per cell: 0.00

=====

No. 8
Density functional theory data (PBE-GGA) for a relaxed structure of BaSiIr2.

Cell lengths 9.754, 9.754, 9.754 Å; angles 18.10, 18.10, 18.10 degrees
Element x y z (fractional)
Ir  0.988  0.988  0.988
Ir  0.243  0.243  0.243
Si  0.520  0.520  0.520
Ba  0.749  0.749  0.749

Electronic total energy in eV/atom: -5.75
Mass density in g/cm3: 11.67
Uncorrected formation energy in eV/f.u.: 2.1
Total moment in μB per cell: 0.60